No. 1
A relaxed Na2Cu2AsSe4 crystal. Source: the Alexandria database, functional PBE.

Results
**Mass density**: 4.9 g/cm³
**Calculated total energy**: -3.73 eV per atom

Lattice parameters (Å, degrees): 3.8521 7.6450 7.3229 112.23 90.00 104.59
Closest atoms and distances in Å follow each position.
Fractional positions:
Na  0.8677  0.7355  0.4409  7 Se 3.09-3.26, 1 Cu 3.33
Na  0.1323  0.2645  0.5591  7 Se 3.09-3.26, 1 Cu 3.33
Cu  0.3089  0.6177  0.0138  4 Se 2.46-2.49, 2 Cu 2.55
Cu  0.6911  0.3823  0.9862  4 Se 2.46-2.49, 2 Cu 2.55
As  0.0000  0.0000  0.0000  6 Se 2.71-2.74
Se  0.7999  0.5999  0.7988  3 Cu 2.46-2.49, 1 As 2.74
Se  0.2001  0.4001  0.2012  3 Cu 2.46-2.49, 1 As 2.74
Se  0.4843  0.9686  0.2471  1 Cu 2.49, 2 As 2.71
Se  0.5157  0.0314  0.7529  1 Cu 2.49, 2 As 2.71

No. 2
A relaxed NaCuAsSe2 crystal. Source: the Alexandria database, functional PBE.

Results
**Mass density**: 4.6 g/cm³
**Polymorph energy (0 for the lowest one)**: 324 meV per atom

Lattice parameters (Å, degrees): 5.0543 5.0543 4.5556 90.00 90.00 90.00
Closest atoms and distances in Å follow each position.
Fractional positions:
Na  0.5000  0.5000  0.5000  8 Se 3.40, 4 As 3.57
As  0.0000  0.0000  0.5000  2 Cu 2.28
Cu  0.0000  0.0000  0.0000  2 As 2.28, 4 Se 2.53
Se  0.0000  0.5000  0.0000  2 Cu 2.53
Se  0.5000  0.0000  0.0000  2 Cu 2.53

No. 3
A relaxed NaCuAs2Se crystal. Source: the Alexandria database, functional PBE.

Results
**Mass density**: 4.6 g/cm³
**Polymorph energy (0 for the lowest one)**: 0 meV per atom

Lattice parameters (Å, degrees): 4.7044 4.7044 5.1960 90.00 90.00 90.00
Closest atoms and distances in Å follow each position.
Fractional positions:
Na  0.5000  0.5000  0.5000  4 Se 3.33, 8 As 3.50
As  0.0000  0.5000  0.0000  2 Cu 2.35
As  0.5000  0.0000  0.0000  2 Cu 2.35
Cu  0.0000  0.0000  0.0000  4 As 2.35, 2 Se 2.60
Se  0.0000  0.0000  0.5000  2 Cu 2.60

No. 4
A relaxed Na2CuAsSe4 crystal. Source: the Alexandria database, functional PBE.

Results
**Mass density**: 4.5 g/cm³
**Calculated total energy**: -3.61 eV per atom

Lattice parameters (Å, degrees): 6.3879 6.2745 6.2745 74.98 59.40 59.40
Closest atoms and distances in Å follow each position.
Fractional positions:
Na  0.0000  0.5000  0.5000  2 Na 3.19, 8 Se 3.21-3.29
Na  0.5000  0.5000  0.5000  2 Na 3.19, 8 Se 3.21-3.29
Cu  0.5000  0.0000  0.0000  4 Se 2.51
As  0.0000  0.0000  0.0000  4 Se 2.40
Se  0.0643  0.3444  0.0000  1 As 2.40, 1 Cu 2.51
Se  0.9357  0.0000  0.6556  1 As 2.40, 1 Cu 2.51
Se  0.5912  0.0000  0.3444  1 As 2.40, 1 Cu 2.51
Se  0.4088  0.6556  0.0000  1 As 2.40, 1 Cu 2.51

No. 5
A relaxed NaCuAsSe2 crystal. Source: the Alexandria database, functional PBE.

Results
**Mass density**: 4.1 g/cm³
**Polymorph energy (0 for the lowest one)**: 1309 meV per atom

Lattice parameters (Å, degrees): 5.0843 5.0843 4.9785 90.00 90.00 90.00
Closest atoms and distances in Å follow each position.
Fractional positions:
Na  0.0000  0.0000  0.0000  2 As 2.49, 4 Se 2.54
As  0.0000  0.0000  0.5000  2 Na 2.49
Cu  0.5000  0.5000  0.5000  8 Se 3.56, 4 As 3.60
Se  0.0000  0.5000  0.0000  2 Na 2.54
Se  0.5000  0.0000  0.0000  2 Na 2.54

No. 6
A relaxed NaCu2AsSe4 crystal. Source: the Alexandria database, functional PBE.

Results
**Mass density**: 4.6 g/cm³
**Calculated total energy**: -3.83 eV per atom

Lattice parameters (Å, degrees): 6.1328 6.1328 6.7607 116.96 116.96 90.02
Closest atoms and distances in Å follow each position.
Fractional positions:
Na  0.0003  0.0003  0.0006  4 Se 2.84-2.85
Cu  0.7500  0.2500  0.5001  4 Se 2.45
Cu  0.2500  0.7500  0.5001  4 Se 2.45
As  0.5000  0.5000  0.9999  4 Se 2.43
Se  0.5771  0.5771  0.7128  1 As 2.43, 2 Cu 2.45
Se  0.4230  0.8642  0.2872  1 As 2.43, 2 Cu 2.45
Se  0.8642  0.4230  0.2872  1 As 2.43, 2 Cu 2.45
Se  0.1357  0.1357  0.7128  1 As 2.43, 2 Cu 2.45

No. 7
A relaxed NaCuAs2Se crystal. Source: the Alexandria database, functional PBE.

Results
**Mass density**: 4.2 g/cm³
**Polymorph energy (0 for the lowest one)**: 973 meV per atom

Lattice parameters (Å, degrees): 4.9871 4.9871 5.0260 90.00 90.00 90.00
Closest atoms and distances in Å follow each position.
Fractional positions:
Na  0.0000  0.0000  0.0000  4 As 2.49, 2 Se 2.51
As  0.0000  0.5000  0.0000  2 Na 2.49
As  0.5000  0.0000  0.0000  2 Na 2.49
Cu  0.5000  0.5000  0.5000  4 Se 3.53, 8 As 3.54
Se  0.0000  0.0000  0.5000  2 Na 2.51

No. 8
A relaxed NaSr2Cu3As4 crystal. Source: the Alexandria database, functional PBE.

Results
**Mass density**: 5.6 g/cm³
**DFT formation energy**: -5.154 eV/f.u.

Lattice parameters (Å, degrees): 4.4070 4.4070 10.5825 90.00 90.00 90.00
Closest atoms and distances in Å follow each position.
Fractional positions:
Na  0.5000  0.5000  0.5000  4 As 2.72
Sr  0.5000  0.0000  0.2423  8 As 3.32-3.38, 6 Cu 3.38-3.51, 2 Na 3.51
Sr  0.0000  0.5000  0.7577  8 As 3.32-3.38, 6 Cu 3.38-3.51, 2 Na 3.51
Cu  0.0000  0.0000  0.5000  4 As 2.72
Cu  0.5000  0.0000  0.8813  5 As 2.44-2.54
Cu  0.0000  0.5000  0.1187  5 As 2.44-2.54
As  0.5000  0.5000  0.0000  4 Cu 2.54
As  0.0000  0.0000  0.0000  4 Cu 2.54
As  0.5000  0.0000  0.6505  3 Cu 2.44-2.72, 2 Na 2.72
As  0.0000  0.5000  0.3495  3 Cu 2.44-2.72, 2 Na 2.72

No. 9
A relaxed Na2Sr2CuAs4 crystal. Source: the Alexandria database, functional PBE.

Results
**Mass density**: 4.5 g/cm³
**DFT formation energy**: -4.510 eV/f.u.

Lattice parameters (Å, degrees): 6.6490 6.6490 6.6490 94.95 117.19 117.19
Closest atoms and distances in Å follow each position.
Fractional positions:
Na  0.0000  0.6895  0.6895  1 Cu 2.79, 4 As 3.01
Na  0.0000  0.3105  0.3105  1 Cu 2.79, 4 As 3.01
Sr  0.5000  0.7500  0.2500  8 As 3.32, 4 Na 3.51
Sr  0.5000  0.2500  0.7500  8 As 3.32, 4 Na 3.51
Cu  0.0000  0.0000  0.0000  4 As 2.42
As  0.0000  0.7534  0.2466  1 Cu 2.42
As  0.5068  0.7534  0.7534  1 Cu 2.42
As  0.0000  0.2466  0.7534  1 Cu 2.42
As  0.4932  0.2466  0.2466  1 Cu 2.42

No. 10
A relaxed NaCuTe3As crystal. Source: the Alexandria database, functional PBE.

Results
**Mass density**: 5.4 g/cm³
**Calculated total energy**: -3.48 eV per atom

Lattice parameters (Å, degrees): 4.0156 9.2834 9.2667 103.65 90.00 90.00
Closest atoms and distances in Å follow each position.
Fractional positions:
Na  0.2500  0.1755  0.2438  7 Te 3.28-3.40, 3 Cu 3.53-3.63
Na  0.7500  0.8245  0.7562  7 Te 3.28-3.40, 3 Cu 3.53-3.63
Cu  0.2500  0.0620  0.5818  2 Cu 2.61, 4 Te 2.63-2.68
Cu  0.7500  0.9380  0.4182  2 Cu 2.61, 4 Te 2.63-2.68
Te  0.7500  0.8797  0.1209  1 Cu 2.68, 2 As 2.88
Te  0.2500  0.1203  0.8791  1 Cu 2.68, 2 As 2.88
Te  0.2500  0.7737  0.4692  3 Cu 2.63
Te  0.7500  0.2263  0.5308  3 Cu 2.63
Te  0.7500  0.4474  0.1747  3 As 2.75-2.91
Te  0.2500  0.5526  0.8253  3 As 2.75-2.91
As  0.2500  0.6589  0.1288  6 Te 2.75-3.08
As  0.7500  0.3411  0.8712  6 Te 2.75-3.08

No. 11
A relaxed Na2Cu2Te4As crystal. Source: the Alexandria database, functional PBE.

Results
**Mass density**: 5.4 g/cm³
**Calculated total energy**: -3.45 eV per atom

Lattice parameters (Å, degrees): 4.0985 8.2091 7.7631 112.91 90.00 104.46
Closest atoms and distances in Å follow each position.
Fractional positions:
Na  0.8670  0.7340  0.4308  7 Te 3.26-3.42, 3 Cu 3.41-3.63
Na  0.1330  0.2660  0.5692  7 Te 3.26-3.42, 3 Cu 3.41-3.63
Cu  0.3027  0.6054  0.0111  2 Cu 2.61, 4 Te 2.64-2.71
Cu  0.6973  0.3946  0.9889  2 Cu 2.61, 4 Te 2.64-2.71
Te  0.8009  0.6019  0.7958  3 Cu 2.64, 1 As 2.91
Te  0.1991  0.3981  0.2042  3 Cu 2.64, 1 As 2.91
Te  0.4827  0.9653  0.2486  1 Cu 2.71, 2 As 2.90
Te  0.5173  0.0347  0.7514  1 Cu 2.71, 2 As 2.90
As  0.0000  0.0000  0.0000  6 Te 2.90-2.91

No. 12
A relaxed Na2ZnCuAs2 crystal. Source: the Alexandria database, functional PBE.

Results
**Mass density**: 4.5 g/cm³
**DFT formation energy**: -2.042 eV/f.u.

Lattice parameters (Å, degrees): 5.7308 5.7848 8.2528 110.52 110.32 90.00
Closest atoms and distances in Å follow each position.
Fractional positions:
Na  0.4220  0.1757  0.3515  5 As 3.00-3.12, 2 Zn 3.23, 2 Cu 3.25
Na  0.5780  0.8243  0.6485  5 As 3.00-3.12, 2 Zn 3.23, 2 Cu 3.25
Na  0.0705  0.3243  0.6485  5 As 3.00-3.12, 2 Zn 3.23, 2 Cu 3.25
Na  0.9295  0.6757  0.3515  5 As 3.00-3.12, 2 Zn 3.23, 2 Cu 3.25
Zn  0.0000  0.7500  0.0000  4 As 2.58, 2 Cu 2.87, 2 Zn 2.89
Zn  0.0000  0.2500  0.0000  4 As 2.58, 2 Cu 2.87, 2 Zn 2.89
Cu  0.5000  0.7500  0.0000  4 As 2.52
Cu  0.5000  0.2500  0.0000  4 As 2.52
As  0.8473  0.1070  0.2141  2 Cu 2.52, 2 Zn 2.58
As  0.3668  0.6070  0.2141  2 Cu 2.52, 2 Zn 2.58
As  0.6332  0.3930  0.7859  2 Cu 2.52, 2 Zn 2.58
As  0.1527  0.8930  0.7859  2 Cu 2.52, 2 Zn 2.58

Which of these has the lowest mass density?
number 5